(1)
Entry from Alexandria: a geometry-optimized Dy2Cr2Fe15 structure (PBE-GGA).

```
19
Lattice="6.281 0.029 0.854 0.750 6.236 0.854 0.032 0.029 6.339" Properties=species:S:1:pos:R:3 pbc="T T T"
Dy 2.418 2.155 2.755
Dy 4.645 4.139 5.292
Cr 0.609 0.543 0.694
Cr 6.453 5.750 7.353
Fe 3.141 0.014 0.427
Fe 0.016 0.014 3.169
Fe 0.375 3.118 0.427
Fe 0.532 4.351 2.520
Fe 4.602 1.914 0.854
Fe 1.930 0.029 4.673
Fe 2.429 4.351 0.854
Fe 4.384 0.029 2.520
Fe 0.250 1.914 4.673
Fe 1.504 4.145 4.888
Fe 4.652 4.145 2.126
Fe 4.290 1.018 4.888
Fe 5.559 2.148 3.159
Fe 2.411 2.148 5.921
Fe 2.772 5.275 3.159
```

Results
V in Å³/f.u.: 247.9
Formation energy from the elements in meV/atom: 4
Size of the total moment in Bohr magnetons per cell: 26.8
Calculated total energy in eV per cell: -155.31

***

(2)
Entry from Alexandria: a geometry-optimized DyCr2Fe10 structure (PBE-GGA).

```
13
Lattice="-2.332 4.168 4.213 2.332 -4.168 4.213 2.332 4.168 -4.213" Properties=species:S:1:pos:R:3 pbc="T T T"
Dy 0.000 0.000 0.000
Cr 0.000 0.000 3.105
Cr 0.000 0.000 5.321
Fe 0.000 2.300 4.213
Fe 2.332 1.868 0.000
Fe 0.000 4.168 2.277
Fe 2.332 0.000 1.936
Fe 1.166 -2.084 2.107
Fe 1.166 2.084 -2.107
Fe -1.166 2.084 2.107
Fe 1.166 2.084 2.107
Fe 0.000 2.988 0.000
Fe 0.000 5.349 0.000
```

Results
V in Å³/f.u.: 163.9
Formation energy from the elements in meV/atom: -1
Size of the total moment in Bohr magnetons per cell: 17.3
Calculated total energy in eV per cell: -108.49

***

(3)
Entry from Alexandria: a geometry-optimized Dy3CrGa12 structure (PBE-GGA).

```
16
Lattice="-3.524 -2.334 0.321 1.343 -2.464 -3.177 7.551 -9.906 10.873" Properties=species:S:1:pos:R:3 pbc="T T T"
Dy 3.132 -4.812 -0.600
Dy 3.776 -4.953 5.437
Dy 5.761 -7.558 8.296
Cr 4.027 -12.240 11.194
Ga -1.091 -2.399 -1.428
Ga 0.757 -4.823 1.233
Ga 2.685 -7.352 4.008
Ga 4.613 -9.881 6.784
Ga -0.952 -2.229 1.326
Ga 1.028 -4.827 4.177
Ga 3.000 -7.414 7.017
Ga 6.322 -12.475 6.691
Ga -2.043 -4.628 -0.102
Ga 3.461 -4.892 2.428
Ga 5.433 -7.478 5.268
Ga 7.413 -10.076 8.119
```

Results
V in Å³/f.u.: 297.1
Formation energy from the elements in meV/atom: -384
Size of the total moment in Bohr magnetons per cell: 2.7
Calculated total energy in eV per cell: -65.90

***

(4)
Entry from Alexandria: a geometry-optimized GdDyMgCr structure (PBE-GGA).

```
4
Lattice="5.211 0.000 0.000 2.606 4.513 0.000 2.606 1.504 4.255" Properties=species:S:1:pos:R:3 pbc="T T T"
Cr 5.211 3.009 2.127
Mg 0.000 0.000 0.000
Gd 7.817 4.513 3.191
Dy 2.606 1.504 1.064
```

Results
V in Å³/f.u.: 100.1
Formation energy from the elements in meV/atom: 132
Size of the total moment in Bohr magnetons per cell: 3.6
Calculated total energy in eV per cell: -29.37

***

(5)
Entry from Alexandria: a geometry-optimized Dy4CrGe8 structure (PBE-GGA).

```
13
Lattice="-1.417 -1.371 3.502 -2.694 -2.405 -2.032 10.911 -11.984 -0.280" Properties=species:S:1:pos:R:3 pbc="T T T"
Dy 4.396 -4.829 -0.113
Dy 8.371 -11.876 -1.265
Dy -0.950 -3.102 0.707
Dy 5.900 -7.944 1.582
Cr 2.018 -2.217 -0.052
Ge 1.572 -4.408 -1.091
Ge 8.189 -8.994 -0.210
Ge 2.234 -3.917 1.675
Ge 6.081 -10.825 0.526
Ge 0.379 -0.416 -0.010
Ge 4.756 -7.905 -1.172
Ge 2.904 -7.335 0.608
Ge 9.461 -11.855 1.490
```

Results
V in Å³/f.u.: 269.9
Formation energy from the elements in meV/atom: -538
Size of the total moment in Bohr magnetons per cell: 3.2
Calculated total energy in eV per cell: -71.97

***

(6)
Entry from Alexandria: a geometry-optimized DyMn4Cr2Ge6 structure (PBE-GGA).

```
13
Lattice="0.354 0.781 5.112 -3.569 -3.216 -1.945 5.298 -6.233 0.586" Properties=species:S:1:pos:R:3 pbc="T T T"
Dy 3.685 -7.445 2.169
Mn 3.970 -4.672 0.439
Mn -0.458 -3.170 -0.826
Mn 1.504 -1.171 2.703
Mn 1.329 -1.564 0.147
Cr 2.190 -6.285 -0.533
Cr 4.151 -4.286 2.995
Ge -0.268 -5.655 -0.468
Ge 2.338 -3.000 4.220
Ge -2.903 -2.558 -0.761
Ge -0.294 0.100 3.931
Ge 1.855 -5.293 1.966
Ge 0.215 -3.363 1.785
```

Results
V in Å³/f.u.: 189.5
Formation energy from the elements in meV/atom: -271
Size of the total moment in Bohr magnetons per cell: 9.3
Calculated total energy in eV per cell: -91.75

***

(7)
Entry from Alexandria: a geometry-optimized DyMn2Cr4Ge6 structure (PBE-GGA).

```
13
Lattice="5.140 -0.004 0.000 -2.576 4.448 0.000 0.000 0.000 8.252" Properties=species:S:1:pos:R:3 pbc="T T T"
Dy 1.282 2.222 0.005
Mn -1.288 2.224 6.182
Mn 2.570 -0.002 6.182
Cr 0.000 0.000 6.199
Cr -1.288 2.224 2.068
Cr 2.570 -0.002 2.068
Cr 0.000 0.000 2.058
Ge -1.305 3.715 4.137
Ge 3.870 0.729 4.137
Ge -1.290 3.706 8.234
Ge 3.854 0.738 8.234
Ge 1.282 2.222 5.402
Ge 1.282 2.222 2.861
```

Results
V in Å³/f.u.: 188.6
Formation energy from the elements in meV/atom: -229
Size of the total moment in Bohr magnetons per cell: 5.6
Calculated total energy in eV per cell: -92.12

***

Copy entry 4 word for word.
Entry from Alexandria: a geometry-optimized GdDyMgCr structure (PBE-GGA).

```
4
Lattice="5.211 0.000 0.000 2.606 4.513 0.000 2.606 1.504 4.255" Properties=species:S:1:pos:R:3 pbc="T T T"
Cr 5.211 3.009 2.127
Mg 0.000 0.000 0.000
Gd 7.817 4.513 3.191
Dy 2.606 1.504 1.064
```

Results
V in Å³/f.u.: 100.1
Formation energy from the elements in meV/atom: 132
Size of the total moment in Bohr magnetons per cell: 3.6
Calculated total energy in eV per cell: -29.37